An optimized crystal structure of MgTiHg, computed with PBE-GGA.

The calculation puts the total magnetic moment at 0.000 μB per formula unit. The total energy comes out at -19.8 eV for the cell shown. Its formation enthalpy at 0 K is -35 meV per atom.

The space group is P-1 (No. 2) and the conventional cell measures 3.125, 5.456 and 7.613 Å, with angles of 107.54, 90.01 and 106.55 degrees. The asymmetric unit holds Mg at (0.171, 0.342, 0.126), Ti at (0.150, 0.299, 0.531) and Hg at (0.466, 0.930, 0.222).